DFT (PBE-GGA) results for a geometry-optimized CaEuGaHg structure.

Cell lengths 7.5756, 7.5756, 7.5756 Å; angles 90.00, 90.00, 90.00 degrees
Last column: nearest neighbours and their distance in Å.
Sites, in units of the cell vectors:
Ca (0.0000, 0.0000, 0.0000)  4 Ga 3.28, 4 Hg 3.28
Ca (0.0000, 0.5000, 0.5000)  4 Ga 3.28, 4 Hg 3.28
Ca (0.5000, 0.0000, 0.5000)  4 Ga 3.28, 4 Hg 3.28
Ca (0.5000, 0.5000, 0.0000)  4 Ga 3.28, 4 Hg 3.28
Eu (0.0000, 0.0000, 0.5000)  4 Hg 3.28, 4 Ga 3.28
Eu (0.0000, 0.5000, 0.0000)  4 Hg 3.28, 4 Ga 3.28
Eu (0.5000, 0.0000, 0.0000)  4 Hg 3.28, 4 Ga 3.28
Eu (0.5000, 0.5000, 0.5000)  4 Hg 3.28, 4 Ga 3.28
Ga (0.2500, 0.2500, 0.2500)  4 Eu 3.28, 4 Ca 3.28
Ga (0.2500, 0.7500, 0.7500)  4 Eu 3.28, 4 Ca 3.28
Ga (0.7500, 0.2500, 0.7500)  4 Eu 3.28, 4 Ca 3.28
Ga (0.7500, 0.7500, 0.2500)  4 Eu 3.28, 4 Ca 3.28
Hg (0.2500, 0.2500, 0.7500)  4 Ca 3.28, 4 Eu 3.28
Hg (0.2500, 0.7500, 0.2500)  4 Ca 3.28, 4 Eu 3.28
Hg (0.7500, 0.2500, 0.2500)  4 Ca 3.28, 4 Eu 3.28
Hg (0.7500, 0.7500, 0.7500)  4 Ca 3.28, 4 Eu 3.28

Properties
The value obtained for the density is 7.1 g cm⁻³. The value obtained for the formation energy is -0.502 eV per atom. As for the space group: F-43m, No. 216. For the total magnetization, the calculation gives 1.753 μB per atom.

=====

DFT (PBE-GGA) results for a geometry-optimized NbCrRe structure.

Cell lengths 3.1071, 3.1071, 9.3263 Å; angles 90.00, 90.00, 90.00 degrees
Last column: nearest neighbours and their distance in Å.
Sites, in units of the cell vectors:
Nb (0.0000, 0.0000, 0.0000)  4 Cr 2.69, 5 Re 2.75-3.01
Nb (0.5000, 0.5000, 0.5000)  4 Cr 2.69, 5 Re 2.75-3.01
Cr (0.0000, 0.0000, 0.6672)  4 Re 2.63, 4 Nb 2.69
Cr (0.5000, 0.5000, 0.1672)  4 Re 2.63, 4 Nb 2.69
Re (0.0000, 0.0000, 0.3227)  4 Cr 2.63, 4 Nb 2.75
Re (0.5000, 0.5000, 0.8227)  4 Cr 2.63, 4 Nb 2.75

Properties
Its distance to the lowest polymorph of the same formula is 57 meV/atom. The value obtained for the density is 12.2 g cm⁻³. The value obtained for the formation energy is -0.042 eV per atom. As for the space group: I4mm, No. 107. For the total magnetization, the calculation gives 0.000 μB per atom.

=====

DFT (PBE-GGA) results for a geometry-optimized KNb2Tc structure.

Cell lengths 6.7128, 6.7128, 6.7128 Å; angles 90.00, 90.00, 90.00 degrees
Last column: nearest neighbours and their distance in Å.
Sites, in units of the cell vectors:
K (0.0000, 0.0000, 0.0000)  8 Nb 2.91
K (0.0000, 0.5000, 0.5000)  8 Nb 2.91
K (0.5000, 0.0000, 0.5000)  8 Nb 2.91
K (0.5000, 0.5000, 0.0000)  8 Nb 2.91
Nb (0.2500, 0.2500, 0.2500)  4 K 2.91, 4 Tc 2.91
Nb (0.2500, 0.2500, 0.7500)  4 K 2.91, 4 Tc 2.91
Nb (0.2500, 0.7500, 0.2500)  4 K 2.91, 4 Tc 2.91
Nb (0.2500, 0.7500, 0.7500)  4 K 2.91, 4 Tc 2.91
Nb (0.7500, 0.2500, 0.2500)  4 K 2.91, 4 Tc 2.91
Nb (0.7500, 0.2500, 0.7500)  4 K 2.91, 4 Tc 2.91
Nb (0.7500, 0.7500, 0.2500)  4 K 2.91, 4 Tc 2.91
Nb (0.7500, 0.7500, 0.7500)  4 K 2.91, 4 Tc 2.91
Tc (0.0000, 0.0000, 0.5000)  8 Nb 2.91
Tc (0.0000, 0.5000, 0.0000)  8 Nb 2.91
Tc (0.5000, 0.0000, 0.0000)  8 Nb 2.91
Tc (0.5000, 0.5000, 0.5000)  8 Nb 2.91

Properties
Its distance to the lowest polymorph of the same formula is 0 meV/atom. The value obtained for the density is 7.1 g cm⁻³. The value obtained for the formation energy is 1.175 eV per atom. As for the space group: Fm-3m, No. 225. For the total magnetization, the calculation gives 0.000 μB per atom.

=====

DFT (PBE-GGA) results for a geometry-optimized CsVI2N structure.

Cell lengths 6.1571, 6.1571, 3.8001 Å; angles 90.00, 90.00, 90.00 degrees
Last column: nearest neighbours and their distance in Å.
Sites, in units of the cell vectors:
Cs (0.0000, 0.0000, 0.0000)  8 I 3.62, 2 Cs 3.80
V (0.5000, 0.5000, 0.5000)  2 N 1.90
I (0.0000, 0.5000, 0.5000)  2 V 3.08
I (0.5000, 0.0000, 0.5000)  2 V 3.08
N (0.5000, 0.5000, 0.0000)  2 V 1.90

Properties
Its distance to the lowest polymorph of the same formula is 0 meV/atom. The value obtained for the density is 5.2 g cm⁻³. As for the space group: P4/mmm, No. 123. For the total magnetization, the calculation gives 0.199 μB per atom.

=====

DFT (PBE-GGA) results for a geometry-optimized Sm8Si3GeBr4 structure.

Cell lengths 8.7234, 8.7234, 8.7234 Å; angles 58.06, 58.06, 58.06 degrees
Last column: nearest neighbours and their distance in Å.
Sites, in units of the cell vectors:
Sm (0.2338, 0.7380, 0.7380)  2 Si 2.87, 1 Ge 2.89, 1 Br 3.20
Sm (0.2363, 0.2363, 0.2363)  3 Si 2.87
Sm (0.2620, 0.2620, 0.7662)  2 Si 2.87, 1 Ge 2.89, 1 Br 3.20
Sm (0.2620, 0.7662, 0.2620)  2 Si 2.87, 1 Ge 2.89, 1 Br 3.20
Sm (0.7380, 0.2338, 0.7380)  2 Si 2.87, 1 Ge 2.89, 1 Br 3.20
Sm (0.7380, 0.7380, 0.2338)  2 Si 2.87, 1 Ge 2.89, 1 Br 3.20
Sm (0.7637, 0.7637, 0.7637)  3 Si 2.87
Sm (0.7662, 0.2620, 0.2620)  2 Si 2.87, 1 Ge 2.89, 1 Br 3.20
Si (0.0000, 0.0000, 0.5000)  6 Sm 2.87
Si (0.0000, 0.5000, 0.0000)  6 Sm 2.87
Si (0.5000, 0.0000, 0.0000)  6 Sm 2.87
Ge (0.5000, 0.5000, 0.5000)  6 Sm 2.89
Br (0.0000, 0.0000, 0.0000)  6 Sm 3.20
Br (0.0000, 0.5000, 0.5000)  6 Sm 3.22-3.23
Br (0.5000, 0.0000, 0.5000)  6 Sm 3.22-3.23
Br (0.5000, 0.5000, 0.0000)  6 Sm 3.22-3.23

Properties
The value obtained for the density is 6.2 g cm⁻³. Its total DFT energy (no corrections) is -5.167 eV/atom. As for the space group: R-3m, No. 166. For the total magnetization, the calculation gives 0.000 μB per atom.

=====

DFT (PBE-GGA) results for a geometry-optimized SrGeIr2 structure.

Cell lengths 7.4975, 7.4975, 6.0441 Å; angles 90.00, 90.00, 90.00 degrees
Last column: nearest neighbours and their distance in Å.
Sites, in units of the cell vectors:
Sr (0.0000, 0.0000, 0.0000)  2 Ge 3.02, 8 Ir 3.19-3.21
Sr (0.0000, 0.5000, 0.2500)  2 Ge 3.02, 8 Ir 3.19-3.21
Sr (0.5000, 0.0000, 0.7500)  2 Ge 3.02, 8 Ir 3.19-3.21
Sr (0.5000, 0.5000, 0.5000)  2 Ge 3.02, 8 Ir 3.19-3.21
Ge (0.0000, 0.0000, 0.5000)  4 Ir 2.39
Ge (0.0000, 0.5000, 0.7500)  4 Ir 2.39
Ge (0.5000, 0.0000, 0.2500)  4 Ir 2.39
Ge (0.5000, 0.5000, 0.0000)  4 Ir 2.39
Ir (0.1705, 0.2500, 0.6250)  2 Ge 2.39
Ir (0.2500, 0.6705, 0.8750)  2 Ge 2.39
Ir (0.2500, 0.8295, 0.3750)  2 Ge 2.39
Ir (0.3295, 0.2500, 0.1250)  2 Ge 2.39
Ir (0.6705, 0.7500, 0.1250)  2 Ge 2.39
Ir (0.7500, 0.1705, 0.3750)  2 Ge 2.39
Ir (0.7500, 0.3295, 0.8750)  2 Ge 2.39
Ir (0.8295, 0.7500, 0.6250)  2 Ge 2.39

Properties
The value obtained for the density is 10.6 g cm⁻³. The value obtained for the formation energy is 0.090 eV per atom. As for the space group: I-42d, No. 122. For the total magnetization, the calculation gives 0.000 μB per atom.

=====

DFT (PBE-GGA) results for a geometry-optimized CaY2Rh structure.

Cell lengths 3.7404, 3.7404, 29.5211 Å; angles 90.00, 90.00, 120.00 degrees
Last column: nearest neighbours and their distance in Å.
Sites, in units of the cell vectors:
Ca (0.0000, 0.0000, 0.0000)  3 Rh 2.87
Ca (0.3333, 0.6667, 0.6667)  3 Rh 2.87
Ca (0.6667, 0.3333, 0.3333)  3 Rh 2.87
Y (0.0000, 0.0000, 0.5474)  3 Rh 2.71
Y (0.0000, 0.0000, 0.7764)  9 Y 3.74-3.76, 3 Ca 3.89
Y (0.3333, 0.6667, 0.2141)  3 Rh 2.71
Y (0.3333, 0.6667, 0.4430)  9 Y 3.74-3.76, 3 Ca 3.89
Y (0.6667, 0.3333, 0.1097)  9 Y 3.74-3.76, 3 Ca 3.89
Y (0.6667, 0.3333, 0.8807)  3 Rh 2.71
Rh (0.0000, 0.0000, 0.2694)  3 Y 2.71, 3 Ca 2.87
Rh (0.3333, 0.6667, 0.9361)  3 Y 2.71, 3 Ca 2.87
Rh (0.6667, 0.3333, 0.6027)  3 Y 2.71, 3 Ca 2.87

Properties
Its distance to the lowest polymorph of the same formula is 212 meV/atom. The value obtained for the density is 4.5 g cm⁻³. The value obtained for the formation energy is -0.174 eV per atom. As for the space group: R3m, No. 160. For the total magnetization, the calculation gives 0.152 μB per atom.

=====

DFT (PBE-GGA) results for a geometry-optimized In2OsW structure.

Cell lengths 4.0646, 4.0646, 8.6915 Å; angles 90.00, 90.00, 90.00 degrees
Last column: nearest neighbours and their distance in Å.
Sites, in units of the cell vectors:
In (0.0000, 0.5000, 0.2500)  4 In 2.87, 4 W 2.98, 4 Os 2.98
In (0.0000, 0.5000, 0.7500)  4 In 2.87, 4 W 2.98, 4 Os 2.98
In (0.5000, 0.0000, 0.2500)  4 In 2.87, 4 W 2.98, 4 Os 2.98
In (0.5000, 0.0000, 0.7500)  4 In 2.87, 4 W 2.98, 4 Os 2.98
Os (0.0000, 0.0000, 0.0000)  4 W 2.87, 8 In 2.98
Os (0.5000, 0.5000, 0.5000)  4 W 2.87, 8 In 2.98
W (0.0000, 0.0000, 0.5000)  4 Os 2.87, 8 In 2.98
W (0.5000, 0.5000, 0.0000)  4 Os 2.87, 8 In 2.98

Properties
Its distance to the lowest polymorph of the same formula is 574 meV/atom. The value obtained for the density is 14.0 g cm⁻³. The value obtained for the formation energy is 0.780 eV per atom. As for the space group: I4/mmm, No. 139. For the total magnetization, the calculation gives 0.000 μB per atom.

=====

DFT (PBE-GGA) results for a geometry-optimized BaNaS2Cl structure.

Cell lengths 4.9651, 4.9651, 5.4246 Å; angles 90.00, 90.00, 90.00 degrees
Last column: nearest neighbours and their distance in Å.
Sites, in units of the cell vectors:
Ba (0.0000, 0.0000, 0.0000)  4 Cl 3.51, 8 S 3.68
Na (0.5000, 0.5000, 0.5000)  4 S 2.48, 2 Cl 2.71
S (0.0000, 0.5000, 0.5000)  2 Na 2.48
S (0.5000, 0.0000, 0.5000)  2 Na 2.48
Cl (0.5000, 0.5000, 0.0000)  2 Na 2.71

Properties
Its distance to the lowest polymorph of the same formula is 0 meV/atom. The value obtained for the density is 3.2 g cm⁻³. As for the space group: P4/mmm, No. 123. For the total magnetization, the calculation gives 0.000 μB per atom.

=====

DFT (PBE-GGA) results for a geometry-optimized TbEr2Pd4 structure.

Cell lengths 6.9606, 6.9606, 6.4501 Å; angles 90.00, 90.00, 90.00 degrees
Last column: nearest neighbours and their distance in Å.
Sites, in units of the cell vectors:
Tb (0.0000, 0.0000, 0.0000)  8 Pd 2.94
Tb (0.5000, 0.5000, 0.5000)  8 Pd 2.94
Er (0.0000, 0.5000, 0.0000)  8 Pd 2.94, 2 Er 3.23
Er (0.0000, 0.5000, 0.5000)  8 Pd 2.94, 2 Er 3.23
Er (0.5000, 0.0000, 0.0000)  8 Pd 2.94, 2 Er 3.23
Er (0.5000, 0.0000, 0.5000)  8 Pd 2.94, 2 Er 3.23
Pd (0.2500, 0.2500, 0.2500)  2 Tb 2.94, 4 Er 2.94, 2 Pd 3.23
Pd (0.2500, 0.2500, 0.7500)  2 Tb 2.94, 4 Er 2.94, 2 Pd 3.23
Pd (0.2500, 0.7500, 0.2500)  2 Tb 2.94, 4 Er 2.94, 2 Pd 3.23
Pd (0.2500, 0.7500, 0.7500)  4 Er 2.94, 2 Tb 2.94, 2 Pd 3.23
Pd (0.7500, 0.2500, 0.2500)  2 Tb 2.94, 4 Er 2.94, 2 Pd 3.23
Pd (0.7500, 0.2500, 0.7500)  4 Er 2.94, 2 Tb 2.94, 2 Pd 3.23
Pd (0.7500, 0.7500, 0.2500)  2 Tb 2.94, 4 Er 2.94, 2 Pd 3.23
Pd (0.7500, 0.7500, 0.7500)  2 Tb 2.94, 4 Er 2.94, 2 Pd 3.23

Properties
The value obtained for the density is 9.8 g cm⁻³. The value obtained for the formation energy is -0.609 eV per atom. As for the space group: I4/mmm, No. 139. For the total magnetization, the calculation gives 0.000 μB per atom.

=====

DFT (PBE-GGA) results for a geometry-optimized Ca2DyCu structure.

Cell lengths 3.6702, 3.6702, 32.9021 Å; angles 90.00, 90.00, 120.00 degrees
Last column: nearest neighbours and their distance in Å.
Sites, in units of the cell vectors:
Ca (0.0000, 0.0000, 0.1068)  3 Cu 2.89
Ca (0.0000, 0.0000, 0.8932)  3 Cu 2.89
Ca (0.3333, 0.6667, 0.5599)  3 Cu 2.89
Ca (0.3333, 0.6667, 0.7735)  3 Cu 2.89
Ca (0.6667, 0.3333, 0.2265)  3 Cu 2.89
Ca (0.6667, 0.3333, 0.4401)  3 Cu 2.89
Dy (0.0000, 0.0000, 0.0000)  2 Ca 3.51, 6 Dy 3.67
Dy (0.3333, 0.6667, 0.6667)  2 Ca 3.51, 6 Dy 3.67
Dy (0.6667, 0.3333, 0.3333)  2 Ca 3.51, 6 Dy 3.67
Cu (0.0000, 0.0000, 0.5000)  6 Ca 2.89
Cu (0.3333, 0.6667, 0.1667)  6 Ca 2.89
Cu (0.6667, 0.3333, 0.8333)  6 Ca 2.89

Properties
The value obtained for the density is 4.0 g cm⁻³. The value obtained for the formation energy is 0.275 eV per atom. As for the space group: R-3m, No. 166. For the total magnetization, the calculation gives 0.070 μB per atom.

=====

DFT (PBE-GGA) results for a geometry-optimized Zn2PbAu2 structure.

Cell lengths 4.3109, 4.3109, 11.1451 Å; angles 90.00, 90.00, 90.00 degrees
Last column: nearest neighbours and their distance in Å.
Sites, in units of the cell vectors:
Zn (0.0000, 0.0000, 0.1111)  1 Zn 2.48, 4 Au 2.65
Zn (0.0000, 0.0000, 0.8889)  1 Zn 2.48, 4 Au 2.65
Zn (0.5000, 0.5000, 0.3889)  1 Zn 2.48, 4 Au 2.65
Zn (0.5000, 0.5000, 0.6111)  1 Zn 2.48, 4 Au 2.65
Pb (0.0000, 0.0000, 0.5000)  8 Zn 3.29, 8 Au 3.52
Pb (0.5000, 0.5000, 0.0000)  8 Zn 3.29, 8 Au 3.52
Au (0.0000, 0.5000, 0.2500)  4 Zn 2.65
Au (0.0000, 0.5000, 0.7500)  4 Zn 2.65
Au (0.5000, 0.0000, 0.2500)  4 Zn 2.65
Au (0.5000, 0.0000, 0.7500)  4 Zn 2.65

Properties
Its distance to the lowest polymorph of the same formula is 85 meV/atom. The value obtained for the density is 11.7 g cm⁻³. The value obtained for the formation energy is -0.057 eV per atom. As for the space group: I4/mmm, No. 139. For the total magnetization, the calculation gives 0.000 μB per atom.

=====

> Which formula does entry 3 have?

KNb2Tc

=====

> Number 3 is which compound?

KNb2Tc

=====

> Look up the total magnetization of the first one.

1.753 μB per atom